Entry 1:
The following is a DFT calculation (PBE) of crystalline ReTe2Br at its relaxed geometry.

Values from the calculation:
ΔE to the lowest computed polymorph = 2.27 eV/f.u.
Energy relative to the elements, uncorrected = 527 meV per atom
SG = Immm, No. 71

Lattice parameters (Å, degrees): 6.9386 6.9386 6.9386 153.33 136.88 51.42
Atoms (fractional coordinates):
Re 0.2500 0.7500 0.5000
Te 0.0753 0.0753 0.0000
Te 0.4247 0.4247 0.0000
Br 0.7500 0.2500 0.5000



Entry 2:
The following is a DFT calculation (PBE) of crystalline Pm2ThTc at its relaxed geometry.

Values from the calculation:
ΔE to the lowest computed polymorph = 0.00 eV/f.u.
SG = Pnma, No. 62

Lattice parameters (Å, degrees): 6.4906 7.3552 9.8920 90.00 90.00 90.00
Atoms (fractional coordinates):
Pm 0.1732 0.6745 0.0667
Pm 0.3268 0.1745 0.4333
Pm 0.8268 0.3255 0.5667
Pm 0.6732 0.8255 0.9333
Pm 0.3268 0.1745 0.0667
Pm 0.6732 0.8255 0.5667
Pm 0.8268 0.3255 0.9333
Pm 0.1732 0.6745 0.4333
Tc 0.9887 0.6270 0.7500
Tc 0.5113 0.1270 0.7500
Tc 0.4887 0.8730 0.2500
Tc 0.0113 0.3730 0.2500
Th 0.8468 0.0542 0.2500
Th 0.1532 0.9458 0.7500
Th 0.6532 0.5542 0.2500
Th 0.3468 0.4458 0.7500



Entry 3:
The following is a DFT calculation (PBE) of crystalline MgAgI4 at its relaxed geometry.

Values from the calculation:
Energy relative to the elements, uncorrected = -542 meV per atom
SG = C2/m, No. 12

Lattice parameters (Å, degrees): 4.2410 8.7073 7.1383 114.84 90.00 104.10
Atoms (fractional coordinates):
I 0.1143 0.2287 0.4352
I 0.8857 0.7713 0.5648
I 0.3906 0.7811 0.0589
I 0.6094 0.2189 0.9411
Mg 0.0000 0.0000 0.0000
Ag 0.5000 0.0000 0.5000



Entry 4:
The following is a DFT calculation (PBE) of crystalline Pa3Ni2Ge at its relaxed geometry.

Values from the calculation:
Total DFT energy (no corrections) = -7.591 eV per atom
SG = R-3c, No. 167

Lattice parameters (Å, degrees): 6.7742 6.7742 6.7742 68.03 68.03 68.03
Atoms (fractional coordinates):
Pa 0.4366 0.0634 0.7500
Pa 0.0634 0.7500 0.4366
Pa 0.2500 0.5634 0.9366
Pa 0.9366 0.2500 0.5634
Pa 0.5634 0.9366 0.2500
Pa 0.7500 0.4366 0.0634
Ge 0.5000 0.5000 0.5000
Ge 0.0000 0.0000 0.0000
Ni 0.8362 0.8362 0.8362
Ni 0.3362 0.3362 0.3362
Ni 0.6638 0.6638 0.6638
Ni 0.1638 0.1638 0.1638



Entry 5:
The following is a DFT calculation (PBE) of crystalline CaAs2HW at its relaxed geometry.

Values from the calculation:
Total DFT energy (no corrections) = -5.083 eV per atom
SG = P4/mmm, No. 123

Lattice parameters (Å, degrees): 4.5336 3.7358 4.5336 90.00 90.00 90.00
Atoms (fractional coordinates):
H 0.0000 0.0000 0.0000
As 0.5000 0.0000 0.0000
As 0.0000 0.0000 0.5000
Ca 0.0000 0.5000 0.0000
W 0.5000 0.5000 0.5000



Entry 6:
The following is a DFT calculation (PBE) of crystalline KTaTl2 at its relaxed geometry.

Values from the calculation:
ΔE to the lowest computed polymorph = 1.66 eV/f.u.
SG = Immm, No. 71

Lattice parameters (Å, degrees): 6.9269 6.9269 6.9269 154.25 123.09 63.47
Atoms (fractional coordinates):
Tl 0.0322 0.0322 0.0000
Tl 0.4678 0.4678 0.0000
Ta 0.2500 0.7500 0.5000
K 0.7500 0.2500 0.5000



Entry 7:
The following is a DFT calculation (PBE) of crystalline NdDyGaAu at its relaxed geometry.

Values from the calculation:
ΔE to the lowest computed polymorph = 0.16 eV/f.u.
SG = F-43m, No. 216

Lattice parameters (Å, degrees): 5.1899 5.1899 5.1899 60.00 60.00 60.00
Atoms (fractional coordinates):
Au 0.0000 0.0000 0.0000
Nd 0.2500 0.2500 0.2500
Ga 0.5000 0.5000 0.5000
Dy 0.7500 0.7500 0.7500



Entry 8:
The following is a DFT calculation (PBE) of crystalline BaNdReO6 at its relaxed geometry.

Values from the calculation:
Energy relative to the elements, uncorrected = -2415 meV per atom
SG = P312, No. 149

Lattice parameters (Å, degrees): 5.7728 5.7728 5.5458 90.00 90.00 60.00
Atoms (fractional coordinates):
O 0.5974 0.3468 0.6973
O 0.3467 0.0558 0.6972
O 0.3467 0.5975 0.3028
O 0.0558 0.3467 0.3028
O 0.0557 0.5976 0.6972
O 0.5976 0.0558 0.3028
Re 0.3333 0.3333 0.5000
Ba 0.0000 0.0000 0.0000
Nd 0.6666 0.6667 0.4999



Number 1: DOS(E_F) 3.354 states/eV/f.u.. Number 2: DOS(E_F) 4.748 states/eV/f.u.. Number 3: DOS(E_F) 5.599 states/eV/f.u.. Number 4: DOS(E_F) 10.448 states/eV/f.u.. Number 5: DOS(E_F) 3.653 states/eV/f.u.. Number 6: DOS(E_F) 4.039 states/eV/f.u.. Number 7: DOS(E_F) 3.792 states/eV/f.u.. Number 8: DOS(E_F) 0.000 states/eV/f.u..